A relaxed structure of TaS2, computed with PBE.

Geometry as CIF:
```
data_TaS2
_chemical_formula_sum 'Ta2 S4'
_cell_length_a 3.054
_cell_length_b 13.804
_cell_length_c 3.034
_cell_angle_alpha 90.00
_cell_angle_beta 90.00
_cell_angle_gamma 90.00
_symmetry_space_group_name_H-M 'C m m m'
_symmetry_Int_Tables_number 65
_symmetry_space_group_name_Hall '-C 2 2'
loop_
_atom_site_label
_atom_site_type_symbol
_atom_site_fract_x
_atom_site_fract_y
_atom_site_fract_z
_atom_site_occupancy
Ta1 Ta 0.000 0.000 0.000 1
S1 S 0.000 0.392 0.500 1
```

Properties
Formation energy (no corrections) ... -0.738 eV/atom